Record 1
A geometry-optimized MnPAu4 structure. Source: the Alexandria database, functional PBE.

abc: 7.741 7.741 7.741
angles: 90.00 90.00 90.00
Space group F-43m (No. 216)
Inequivalent atoms, fractional coordinates:
Mn 0.000 0.000 0.000 x4
P 0.250 0.250 0.750 x4
Au 0.125 0.125 0.375 x16

Values from the calculation:
Its magnetic moment is 4.40 μB/f.u. Its energy of formation from the pure elements is 0.3975 eV per atom.

Record 2
A geometry-optimized MnP2Au structure. Source: the Alexandria database, functional PBE.

abc: 2.810 2.905 7.402
angles: 90.00 90.00 90.00
Space group Pmm2 (No. 25)
Inequivalent atoms, fractional coordinates:
Mn 0.000 0.000 0.000 x1
P 0.500 0.000 0.768 x1
P 0.500 0.500 0.161 x1
Au 0.500 0.500 0.491 x1

Values from the calculation:
Its magnetic moment is 0.00 μB/f.u. Its energy of formation from the pure elements is -0.1084 eV per atom. The energy above the most stable polymorph in this dataset is 39 kJ/mol of formula units.